VASP calculation (PBE) on CeTm2ScSe4 after structural relaxation.

## Properties
DFT total energy in eV per atom: -6.065
Raw formation energy in meV per atom: -1671

Cell lengths 7.006, 4.004, 7.012 Å; angles 90.00, 109.01, 90.00 degrees
Positions (direct):
1 Ce 0.000 0.000 0.000
2 Tm 0.500 0.000 0.500
3 Tm 0.500 0.500 0.000
4 Sc 0.000 0.500 0.500
5 Se 0.249 0.000 0.739
6 Se 0.258 0.500 0.264
7 Se 0.742 0.500 0.736
8 Se 0.751 0.000 0.261

VASP calculation (PBE) on CeY2ScSe6 after structural relaxation.

## Properties
DFT total energy in eV per atom: -6.378
Raw formation energy in meV per atom: -1768

Cell lengths 7.671, 7.671, 7.671 Å; angles 55.86, 55.86, 55.86 degrees
Positions (direct):
1 Ce 0.000 0.000 0.000
2 Y 0.197 0.197 0.197
3 Y 0.702 0.702 0.702
4 Sc 0.507 0.507 0.507
5 Se 0.120 0.409 0.778
6 Se 0.311 0.898 0.588
7 Se 0.409 0.778 0.120
8 Se 0.588 0.311 0.898
9 Se 0.778 0.120 0.409
10 Se 0.898 0.588 0.311

VASP calculation (PBE) on CeY2Sc3Se6 after structural relaxation.

## Properties
DFT total energy in eV per atom: -6.579
Raw formation energy in meV per atom: -1682

Cell lengths 8.951, 8.951, 8.054 Å; angles 103.21, 103.21, 25.70 degrees
Positions (direct):
1 Ce 0.000 0.000 0.000
2 Y 0.335 0.335 0.670
3 Y 0.665 0.665 0.330
4 Sc 0.000 0.000 0.500
5 Sc 0.335 0.335 0.163
6 Sc 0.665 0.665 0.837
7 Se 0.164 0.164 0.593
8 Se 0.174 0.174 0.077
9 Se 0.496 0.496 0.267
10 Se 0.504 0.504 0.733
11 Se 0.826 0.826 0.923
12 Se 0.836 0.836 0.407